A relaxed structure of K2ZrAu2, computed with PBE.

abc: 5.577 5.577 9.785
angles: 90.00 90.00 90.00
Atoms (fractional coordinates):
K  0.000  0.000  0.140
K  0.000  0.000  0.860
K  0.500  0.500  0.360
K  0.500  0.500  0.640
Zr  0.000  0.000  0.500
Zr  0.500  0.500  0.000
Au  0.000  0.500  0.250
Au  0.000  0.500  0.750
Au  0.500  0.000  0.250
Au  0.500  0.000  0.750

Results
Crystal system: tetragonal
DOS(E_F): 0.842 states/eV per atom
Energy relative to the elements: 3.8 eV per formula unit